# 1
Crystalline VAgS2 at its relaxed geometry, computed with PBE.

extended XYZ file:
```
8
Lattice="-1.884 -1.002 2.415 3.134 -4.871 0.429 4.174 1.716 6.129" Properties=species:S:1:pos:R:3 pbc="T T T"
V 5.525 -4.036 8.342
V 5.254 -1.568 7.006
S 0.638 -0.917 1.515
S 2.832 -1.532 7.278
S 5.182 -3.695 6.067
S 1.422 -3.624 3.154
Ag 0.698 -0.170 4.058
Ag 2.766 -2.283 4.744
```

The crystal system is triclinic. The calculation puts the formation energy without anion corrections at -0.597 eV/atom.

***

# 2
Crystalline K3Y3AlTe8 at its relaxed geometry, computed with PBE.

extended XYZ file:
```
15
Lattice="-7.632 1.337 -3.885 0.473 -5.120 6.986 0.839 9.752 1.707" Properties=species:S:1:pos:R:3 pbc="T T T"
K -3.579 -1.892 1.551
K 0.237 -2.560 3.493
K 0.000 0.000 0.000
Te -4.703 2.807 5.073
Te -1.617 3.162 -0.265
Te -5.675 3.874 -2.330
Te -0.896 4.818 3.422
Te -5.424 1.151 1.386
Te -0.645 2.095 7.138
Te -1.516 0.479 3.147
Te -4.804 5.489 1.661
Y -3.397 5.544 -1.089
Y 0.656 2.316 4.347
Y -3.160 2.984 2.404
Al 0.419 4.876 0.853
```

The crystal system is monoclinic. The calculation puts the formation energy without anion corrections at -1.123 eV/atom.

***

# 3
Crystalline KSr2Be at its relaxed geometry, computed with PBE.

extended XYZ file:
```
4
Lattice="7.020 -0.001 0.000 3.118 6.289 0.000 -5.069 -3.144 3.701" Properties=species:S:1:pos:R:3 pbc="T T T"
Sr 0.000 0.000 0.000
Sr 1.559 3.145 1.851
K 3.510 -0.001 1.851
Be 5.069 3.144 0.000
```

The formation energy comes out at 644 meV per atom. The crystal system is tetragonal.

***

# 4
Crystalline U2In2Se7 at its relaxed geometry, computed with PBE.

extended XYZ file:
```
11
Lattice="8.522 -0.510 -0.583 -1.087 7.063 -1.469 -1.087 -2.395 6.805" Properties=species:S:1:pos:R:3 pbc="T T T"
Se 5.271 4.727 1.886
Se 5.271 1.241 4.936
Se 0.135 3.202 3.661
Se 6.213 0.955 1.092
Se 1.078 -0.569 2.866
Se 4.261 -0.255 -0.292
Se 1.078 2.917 -0.183
In 2.592 1.194 1.365
In 3.757 2.963 3.388
U -1.087 3.939 1.264
U -1.087 0.729 4.072
```

The crystal system is monoclinic. The calculation puts the formation energy without anion corrections at -0.686 eV/atom.

***

| no. | mass density (g/cm³) | spin magnetization (μB/cell) | D(E_F) (states/eV/cell) |
| --- | --- | --- | --- |
| 1 | 5.399 | 0.00 | 3.612 |
| 2 | 4.255 | 0.00 | 8.197 |
| 3 | 2.270 | 0.00 | 4.411 |
| 4 | 5.662 | 3.26 | 13.012 |